Entry 1:
Below is a geometry-optimized NiIrOs2 structure, with properties calculated at the GGA-PBE level.

```
data_NiIrOs2
_space_group_name_H-M_alt 'P m m m'
_space_group_IT_number 47
_cell_length_a 2.720
_cell_length_b 4.512
_cell_length_c 4.583
_cell_angle_alpha 90.00
_cell_angle_beta 90.00
_cell_angle_gamma 90.00
loop_
_space_group_symop_operation_xyz
'x,y,z'
'-x,-y,-z'
'-x,-y,z'
'x,y,-z'
'x,-y,-z'
'-x,y,z'
'-x,y,-z'
'x,-y,z'
loop_
_atom_site_label
_atom_site_type_symbol
_atom_site_fract_x
_atom_site_fract_y
_atom_site_fract_z
Ni1 Ni 0.000 0.000 0.000
Ir1 Ir 0.500 0.500 0.000
Os1 Os 0.000 0.500 0.500
Os2 Os 0.500 0.000 0.500
```

---

Entry 2:
# Ni2Ir2Os | the Alexandria database | GGA-PBE | relaxed
# energy relative to the lowest polymorph listed for this composition	194	meV/atom
data_Ni2Ir2Os
_space_group_name_H-M_alt 'P -1'
_space_group_IT_number 2
_cell_length_a 4.248
_cell_length_b 6.206
_cell_length_c 6.244
_cell_angle_alpha 67.28
_cell_angle_beta 70.18
_cell_angle_gamma 70.06
loop_
_space_group_symop_operation_xyz
'x,y,z'
'-x,-y,-z'
loop_
_atom_site_label
_atom_site_type_symbol
_atom_site_fract_x
_atom_site_fract_y
_atom_site_fract_z
Ni1 Ni 0.041 0.123 0.296
Ni2 Ni 0.410 0.195 0.486
Ir1 Ir 0.231 0.636 0.400
Ir2 Ir 0.337 0.895 0.930
Os1 Os 0.129 0.380 0.863

---

Entry 3:
# NiIr4Os | the Alexandria database | GGA-PBE | relaxed
# energy relative to the lowest polymorph listed for this composition	0	meV/atom
data_NiIr4Os
_space_group_name_H-M_alt 'C m c 21'
_space_group_IT_number 36
_cell_length_a 2.735
_cell_length_b 14.009
_cell_length_c 8.773
_cell_angle_alpha 90.00
_cell_angle_beta 90.00
_cell_angle_gamma 90.00
loop_
_space_group_symop_operation_xyz
'x,y,z'
'-x,-y,z+1/2'
'-x,y,z'
'x,-y,z+1/2'
'x+1/2,y+1/2,z'
'-x+1/2,-y+1/2,z+1/2'
'-x+1/2,y+1/2,z'
'x+1/2,-y+1/2,z+1/2'
loop_
_atom_site_label
_atom_site_type_symbol
_atom_site_fract_x
_atom_site_fract_y
_atom_site_fract_z
Ni1 Ni 0.000 0.222 0.000
Ir1 Ir 0.000 0.001 0.751
Ir2 Ir 0.000 0.115 0.503
Ir3 Ir 0.000 0.327 0.750
Ir4 Ir 0.000 0.442 0.501
Os1 Os 0.000 0.332 0.250

---

Entry 4:
Below is a geometry-optimized Ni2Ir6Os3 structure, with properties calculated at the GGA-PBE level.

```
data_Ni2Ir6Os3
_space_group_name_H-M_alt 'P -1'
_space_group_IT_number 2
_cell_length_a 4.705
_cell_length_b 6.016
_cell_length_c 6.028
_cell_angle_alpha 107.23
_cell_angle_beta 104.93
_cell_angle_gamma 97.43
loop_
_space_group_symop_operation_xyz
'x,y,z'
'-x,-y,-z'
loop_
_atom_site_label
_atom_site_type_symbol
_atom_site_fract_x
_atom_site_fract_y
_atom_site_fract_z
Ni1 Ni 0.234 0.052 0.415
Ir1 Ir 0.045 0.409 0.683
Ir2 Ir 0.136 0.228 0.049
Ir3 Ir 0.322 0.868 0.768
Os1 Os 0.414 0.683 0.132
Os2 Os 0.500 0.500 0.500
```

---

Entry 5:
Below is a geometry-optimized NiIrOs2 structure, with properties calculated at the GGA-PBE level.

```
data_NiIrOs2
_space_group_name_H-M_alt 'P 1 21/m 1'
_space_group_IT_number 11
_cell_length_a 3.783
_cell_length_b 3.802
_cell_length_c 7.624
_cell_angle_alpha 90.00
_cell_angle_beta 90.01
_cell_angle_gamma 90.00
loop_
_space_group_symop_operation_xyz
'x,y,z'
'-x,-y,-z'
'-x,y+1/2,-z'
'x,-y+1/2,z'
loop_
_atom_site_label
_atom_site_type_symbol
_atom_site_fract_x
_atom_site_fract_y
_atom_site_fract_z
Ni1 Ni 0.000 0.250 0.128
Ir1 Ir 0.500 0.250 0.876
Os1 Os 0.001 0.750 0.375
Os2 Os 0.499 0.250 0.376
```

---

Entry 6:
Below is a geometry-optimized NiIr6Os3 structure, with properties calculated at the GGA-PBE level.

```
data_NiIr6Os3
_space_group_name_H-M_alt 'P 1 21/m 1'
_space_group_IT_number 11
_cell_length_a 9.847
_cell_length_b 2.723
_cell_length_c 11.060
_cell_angle_alpha 90.00
_cell_angle_beta 101.34
_cell_angle_gamma 90.00
loop_
_space_group_symop_operation_xyz
'x,y,z'
'-x,-y,-z'
'-x,y+1/2,-z'
'x,-y+1/2,z'
loop_
_atom_site_label
_atom_site_type_symbol
_atom_site_fract_x
_atom_site_fract_y
_atom_site_fract_z
Ni1 Ni 0.039 0.250 0.230
Ir1 Ir 0.119 0.250 0.978
Ir2 Ir 0.193 0.750 0.429
Ir3 Ir 0.220 0.750 0.788
Ir4 Ir 0.254 0.750 0.195
Ir5 Ir 0.348 0.250 0.627
Ir6 Ir 0.488 0.250 0.192
Os1 Os 0.077 0.250 0.592
Os2 Os 0.382 0.750 0.998
Os3 Os 0.424 0.250 0.409
```

---

E_form per entry: 0.475; 0.257; 0.033; 0.045; 0.090; 0.184 eV/atom
V per entry: 14.06; 13.86; 14.01; 13.96; 13.71; 14.54 Å³/atom
E_tot per entry: -35.2; -39.2; -52.3; -97.9; -36.7; -90.8 eV/f.u.